A plane-wave DFT calculation with GGA-PBE was carried out for a geometry-optimized KSb structure.

Total moment: 0.00 μB per cell
Space group: P2_1/c, No. 14
Energy relative to the elements, uncorrected: -440 meV/atom
VASP energy: -48.8 eV for the cell shown

Cell lengths 7.076, 7.285, 12.379 Å; angles 82.92, 90.00, 90.00 degrees
Positions (direct):
Sb1 0.666 0.302 0.377
K1 0.834 0.708 0.534
K2 0.398 0.890 0.330
Sb2 0.334 0.698 0.623
K3 0.602 0.110 0.670
Sb3 0.400 0.465 0.213
Sb4 0.600 0.535 0.787
Sb5 0.834 0.802 0.877
Sb6 0.900 0.035 0.287
K4 0.334 0.792 0.966
Sb7 0.166 0.198 0.123
K5 0.102 0.390 0.830
K6 0.166 0.292 0.466
K7 0.666 0.208 0.034
K8 0.898 0.610 0.170
Sb8 0.100 0.965 0.713


A plane-wave DFT calculation with GGA-PBE was carried out for a geometry-optimized AgSe structure.

Total moment: 0.00 μB per cell
Space group: Pmmn, No. 59
Energy relative to the elements, uncorrected: 9 meV/atom
N(E_F): 7.39 states/eV/cell
VASP energy: -37.9 eV for the cell shown

Cell lengths 5.114, 4.518, 12.253 Å; angles 90.00, 90.00, 90.00 degrees
Positions (direct):
Ag1 0.500 0.256 0.664
Se1 0.000 0.397 0.000
Se2 0.500 0.603 0.500
Ag2 0.500 0.256 0.336
Se3 0.500 0.875 0.820
Se4 0.500 0.875 0.180
Ag3 0.500 0.219 0.000
Ag4 0.000 0.744 0.836
Ag5 0.000 0.781 0.500
Se5 0.000 0.125 0.680
Ag6 0.000 0.744 0.164
Se6 0.000 0.125 0.320


A plane-wave DFT calculation with GGA-PBE was carried out for a geometry-optimized VSn3P structure.

Total moment: 3.12 μB per cell
Space group: Pm-3m, No. 221
Calculated formation energy: 651 meV per atom
N(E_F): 8.01 states/eV/cell
VASP energy: -23.3 eV for the cell shown

Cell lengths 5.157, 5.157, 5.157 Å; angles 90.00, 90.00, 90.00 degrees
Site moments in Bohr magnetons follow the coordinates.
Positions (direct):
Sn1 0.000 0.500 0.000  0.02
P1 0.500 0.500 0.500  0.65
Sn2 0.500 0.000 0.000  0.02
Sn3 0.000 0.000 0.500  0.02
V1 0.000 0.000 0.000  1.35


A plane-wave DFT calculation with GGA-PBE was carried out for a geometry-optimized SrLiH3 structure.

Total moment: 0.00 μB per cell
Space group: C2/c, No. 15
N(E_F): 0.00 states/eV/cell
VASP energy: -63.2 eV for the cell shown

Cell lengths 7.976, 6.775, 6.775 Å; angles 76.68, 113.07, 66.93 degrees
Positions (direct):
H1 0.468 0.164 0.810
H2 0.968 0.690 0.336
H3 0.150 0.262 0.243
H4 0.350 0.743 0.762
Sr1 0.750 0.160 0.660
H5 0.366 0.446 0.364
Sr2 0.250 0.840 0.340
H6 0.134 0.864 0.946
H7 0.032 0.310 0.664
H8 0.850 0.738 0.757
Sr3 0.750 0.531 0.031
Li1 0.219 0.361 0.480
Li2 0.781 0.639 0.520
Li3 0.719 0.020 0.139
Li4 0.281 0.980 0.861
H9 0.650 0.257 0.238
H10 0.634 0.554 0.636
H11 0.532 0.836 0.190
H12 0.866 0.136 0.054
Sr4 0.250 0.469 0.969


A plane-wave DFT calculation with GGA-PBE was carried out for a geometry-optimized HoTlPb2Br8 structure.

Total moment: 0.00 μB per cell
Space group: P2/m, No. 10
Energy relative to the elements, uncorrected: -1205 meV/atom
N(E_F): 0.00 states/eV/cell
VASP energy: -42.2 eV for the cell shown

Cell lengths 7.242, 6.870, 9.240 Å; angles 89.98, 89.99, 89.06 degrees
Positions (direct):
Br1 0.154 0.762 0.216
Br2 0.846 0.238 0.215
Tl1 0.000 0.000 0.500
Br3 0.154 0.762 0.785
Ho1 0.000 0.000 0.000
Br4 0.368 0.269 0.500
Br5 0.318 0.237 0.000
Br6 0.682 0.763 0.000
Pb1 0.500 0.500 0.750
Br7 0.632 0.731 0.500
Pb2 0.500 0.500 0.250
Br8 0.846 0.238 0.784


A plane-wave DFT calculation with GGA-PBE was carried out for a geometry-optimized Sc2TcAgH structure.

Total moment: 0.00 μB per cell
Space group: P4/mmm, No. 123
N(E_F): 1.26 states/eV/cell
VASP energy: -30.8 eV for the cell shown

Cell lengths 4.690, 4.690, 3.475 Å; angles 90.00, 90.00, 90.00 degrees
Positions (direct):
Tc1 0.000 0.000 0.500
Sc1 0.000 0.500 0.000
Sc2 0.500 0.000 0.000
Ag1 0.500 0.500 0.500
H1 0.000 0.000 0.000


A plane-wave DFT calculation with GGA-PBE was carried out for a geometry-optimized Cu2SiPtCl structure.

Total moment: 0.00 μB per cell
Space group: P4/mmm, No. 123
Energy relative to the elements, uncorrected: 825 meV/atom
N(E_F): 2.43 states/eV/cell
VASP energy: -17.4 eV for the cell shown

Cell lengths 4.183, 5.062, 4.183 Å; angles 90.00, 90.00, 90.00 degrees
Positions (direct):
Si1 0.000 0.500 0.000
Cu1 0.500 0.000 0.000
Pt1 0.500 0.500 0.500
Cl1 0.000 0.000 0.000
Cu2 0.000 0.000 0.500


A plane-wave DFT calculation with GGA-PBE was carried out for a geometry-optimized VInRe2Tc structure.

Total moment: 1.45 μB per cell
Space group: P4/mmm, No. 123
Calculated formation energy: 1383 meV per atom
N(E_F): 6.18 states/eV/cell
VASP energy: -40.2 eV for the cell shown

Cell lengths 4.564, 4.475, 4.564 Å; angles 90.00, 90.00, 90.00 degrees
Site moments in Bohr magnetons follow the coordinates.
Positions (direct):
V1 0.000 0.000 0.000  -0.08
Tc1 0.000 0.500 0.000  0.70
Re1 0.000 0.000 0.500  0.32
In1 0.500 0.500 0.500  -0.03
Re2 0.500 0.000 0.000  0.38


A plane-wave DFT calculation with GGA-PBE was carried out for a geometry-optimized In2P structure.

Total moment: 0.00 μB per cell
Space group: I4/mmm, No. 139
Calculated formation energy: 182 meV per atom
N(E_F): 1.17 states/eV/cell
VASP energy: -10.3 eV for the cell shown

Cell lengths 6.275, 6.275, 6.275 Å; angles 147.90, 147.90, 46.03 degrees
Positions (direct):
In1 0.357 0.357 0.000
In2 0.643 0.643 0.000
P1 0.000 0.000 0.000


A plane-wave DFT calculation with GGA-PBE was carried out for a geometry-optimized Nd4SiPbSe2 structure.

Total moment: 0.00 μB per cell
Space group: P2/m, No. 10
Energy relative to the elements, uncorrected: -1222 meV/atom
N(E_F): 2.66 states/eV/cell
VASP energy: -45.0 eV for the cell shown

Cell lengths 4.305, 7.548, 7.566 Å; angles 70.91, 90.00, 90.00 degrees
Positions (direct):
Nd1 0.000 0.245 0.264
Pb1 0.500 0.500 0.000
Si1 0.000 0.500 0.500
Nd2 0.500 0.255 0.737
Se1 0.500 0.000 0.500
Se2 0.000 0.000 0.000
Nd3 0.500 0.745 0.263
Nd4 0.000 0.755 0.736


A plane-wave DFT calculation with GGA-PBE was carried out for a geometry-optimized KLi2Cu structure.

Total moment: 0.00 μB per cell
Space group: Fm-3m, No. 225
Calculated formation energy: 312 meV per atom
N(E_F): 1.75 states/eV/cell
VASP energy: -7.8 eV for the cell shown

Cell lengths 5.121, 5.121, 5.121 Å; angles 60.00, 60.00, 60.00 degrees
Positions (direct):
K1 0.000 0.000 0.000
Li1 0.250 0.250 0.250
Li2 0.750 0.750 0.750
Cu1 0.500 0.500 0.500


A plane-wave DFT calculation with GGA-PBE was carried out for a geometry-optimized Cs2TeIr structure.

Total moment: 2.81 μB per cell
Space group: Fm-3m, No. 225
Energy relative to the elements, uncorrected: 670 meV/atom
N(E_F): 5.82 states/eV/cell
VASP energy: -11.0 eV for the cell shown

Cell lengths 6.282, 6.282, 6.282 Å; angles 60.00, 60.00, 60.00 degrees
Site moments in Bohr magnetons follow the coordinates.
Positions (direct):
Cs1 0.250 0.250 0.250  0.01
Te1 0.000 0.000 0.000  0.28
Cs2 0.750 0.750 0.750  0.01
Ir1 0.500 0.500 0.500  1.97


The highest VASP energy belongs to which entry? KLi2Cu